<w>
# PmHo4Cd (PBE, relaxed)
# Total magnetization ... 0.00 μB per cell
data_PmHo4Cd
_cell_length_a 10.465
_cell_length_b 6.068
_cell_length_c 11.708
_cell_angle_alpha 90.00
_cell_angle_beta 106.82
_cell_angle_gamma 90.00
_symmetry_space_group_name_H-M 'C 1 2/c 1'
_symmetry_Int_Tables_number 15
_symmetry_space_group_name_Hall '-C 2yc'
loop_
_atom_site_label
_atom_site_type_symbol
_atom_site_fract_x
_atom_site_fract_y
_atom_site_fract_z
Pm1 Pm 0.250 0.250 0.000
Ho1 Ho 0.081 0.245 0.503
Ho2 Ho 0.165 0.414 0.251
Cd1 Cd 0.000 0.078 0.750


<x>
# PmHo4Cd (PBE, relaxed)
# Total magnetization ... 0.00 μB per cell
data_PmHo4Cd
_cell_length_a 3.570
_cell_length_b 3.570
_cell_length_c 14.107
_cell_angle_alpha 90.00
_cell_angle_beta 90.00
_cell_angle_gamma 90.00
_symmetry_space_group_name_H-M 'P 4/m m m'
_symmetry_Int_Tables_number 123
_symmetry_space_group_name_Hall '-P 4 2'
loop_
_atom_site_label
_atom_site_type_symbol
_atom_site_fract_x
_atom_site_fract_y
_atom_site_fract_z
Pm1 Pm 0.000 0.000 0.000
Ho1 Ho 0.000 0.000 0.354
Ho2 Ho 0.500 0.500 0.179
Cd1 Cd 0.500 0.500 0.500


Which of them is the least stable? Correct choice: <w>.


<w>
# PmHoCd2 (PBE, relaxed)
# Total magnetization ... 0.00 μB per cell
data_PmHoCd2
_cell_length_a 3.6214
_cell_length_b 3.6214
_cell_length_c 30.2961
_cell_angle_alpha 90.00
_cell_angle_beta 90.00
_cell_angle_gamma 120.00
_symmetry_space_group_name_H-M 'R -3 m'
_symmetry_Int_Tables_number 166
_symmetry_space_group_name_Hall '-R 3 2"'
loop_
_atom_site_label
_atom_site_type_symbol
_atom_site_fract_x
_atom_site_fract_y
_atom_site_fract_z
Pm1 Pm 0.0000 0.0000 0.0000
Ho1 Ho 0.0000 0.0000 0.5000
Cd1 Cd 0.0000 0.0000 0.2475


<x>
# PmHoCd2 (PBE, relaxed)
# Total magnetization ... 1.97 μB per cell
data_PmHoCd2
_cell_length_a 7.566
_cell_length_b 7.566
_cell_length_c 7.566
_cell_angle_alpha 90.00
_cell_angle_beta 90.00
_cell_angle_gamma 90.00
_symmetry_space_group_name_H-M 'F m -3 m'
_symmetry_Int_Tables_number 225
_symmetry_space_group_name_Hall '-F 4 2 3'
loop_
_atom_site_label
_atom_site_type_symbol
_atom_site_fract_x
_atom_site_fract_y
_atom_site_fract_z
Pm1 Pm 0.000 0.000 0.000
Ho1 Ho 0.000 0.000 0.500
Cd1 Cd 0.250 0.250 0.250


Which of them is the least stable? Correct choice: <w>.


<w>
# Pm3Ho2Cd2 (PBE, relaxed)
# Total magnetization ... 0.00 μB per cell
data_Pm3Ho2Cd2
_cell_length_a 9.440
_cell_length_b 5.455
_cell_length_c 8.642
_cell_angle_alpha 90.00
_cell_angle_beta 111.39
_cell_angle_gamma 90.00
_symmetry_space_group_name_H-M 'C 1 2/m 1'
_symmetry_Int_Tables_number 12
_symmetry_space_group_name_Hall '-C 2y'
loop_
_atom_site_label
_atom_site_type_symbol
_atom_site_fract_x
_atom_site_fract_y
_atom_site_fract_z
Pm1 Pm 0.000 0.000 0.000
Pm2 Pm 0.158 0.000 0.474
Ho1 Ho 0.073 0.500 0.721
Cd1 Cd 0.211 0.500 0.132


<x>
# Pm3Ho2Cd2 (PBE, relaxed)
# Total magnetization ... 0.87 μB per cell
data_Pm3Ho2Cd2
_cell_length_a 5.122
_cell_length_b 23.105
_cell_length_c 3.497
_cell_angle_alpha 90.00
_cell_angle_beta 90.00
_cell_angle_gamma 90.00
_symmetry_space_group_name_H-M 'C m m m'
_symmetry_Int_Tables_number 65
_symmetry_space_group_name_Hall '-C 2 2'
loop_
_atom_site_label
_atom_site_type_symbol
_atom_site_fract_x
_atom_site_fract_y
_atom_site_fract_z
Pm1 Pm 0.000 0.000 0.000
Pm2 Pm 0.000 0.146 0.000
Ho1 Ho 0.000 0.290 0.500
Cd1 Cd 0.000 0.431 0.500


Which of them is the least stable? Correct choice: <x>.


<w>
# Pm6HoCd2 (PBE, relaxed)
# Total magnetization ... 0.00 μB per cell
data_Pm6HoCd2
_cell_length_a 15.619
_cell_length_b 11.633
_cell_length_c 6.210
_cell_angle_alpha 90.00
_cell_angle_beta 95.60
_cell_angle_gamma 90.00
_symmetry_space_group_name_H-M 'C 1 2/c 1'
_symmetry_Int_Tables_number 15
_symmetry_space_group_name_Hall '-C 2yc'
loop_
_atom_site_label
_atom_site_type_symbol
_atom_site_fract_x
_atom_site_fract_y
_atom_site_fract_z
Pm1 Pm 0.056 0.128 0.009
Pm2 Pm 0.118 0.350 0.314
Pm3 Pm 0.223 0.372 0.837
Ho1 Ho 0.000 0.399 0.750
Cd1 Cd 0.164 0.122 0.592


<x>
# Pm6HoCd2 (PBE, relaxed)
# Total magnetization ... 0.00 μB per cell
data_Pm6HoCd2
_cell_length_a 12.882
_cell_length_b 3.810
_cell_length_c 12.138
_cell_angle_alpha 90.00
_cell_angle_beta 108.86
_cell_angle_gamma 90.00
_symmetry_space_group_name_H-M 'C 1 2/m 1'
_symmetry_Int_Tables_number 12
_symmetry_space_group_name_Hall '-C 2y'
loop_
_atom_site_label
_atom_site_type_symbol
_atom_site_fract_x
_atom_site_fract_y
_atom_site_fract_z
Pm1 Pm 0.020 0.000 0.337
Pm2 Pm 0.185 0.500 0.877
Pm3 Pm 0.189 0.500 0.588
Ho1 Ho 0.000 0.000 0.000
Cd1 Cd 0.142 0.500 0.199


Which of them is the least stable? Correct choice: <w>.


<w>
# PmHo2Cd (PBE, relaxed)
# Total magnetization ... 0.09 μB per cell
data_PmHo2Cd
_cell_length_a 4.869
_cell_length_b 4.869
_cell_length_c 4.862
_cell_angle_alpha 90.00
_cell_angle_beta 90.00
_cell_angle_gamma 90.00
_symmetry_space_group_name_H-M 'P 4/m m m'
_symmetry_Int_Tables_number 123
_symmetry_space_group_name_Hall '-P 4 2'
loop_
_atom_site_label
_atom_site_type_symbol
_atom_site_fract_x
_atom_site_fract_y
_atom_site_fract_z
Pm1 Pm 0.000 0.000 0.000
Ho1 Ho 0.000 0.500 0.500
Cd1 Cd 0.500 0.500 0.000


<x>
# PmHo2Cd (PBE, relaxed)
# Total magnetization ... 0.00 μB per cell
data_PmHo2Cd
_cell_length_a 3.607
_cell_length_b 3.607
_cell_length_c 9.024
_cell_angle_alpha 90.00
_cell_angle_beta 90.00
_cell_angle_gamma 90.00
_symmetry_space_group_name_H-M 'P 4/m m m'
_symmetry_Int_Tables_number 123
_symmetry_space_group_name_Hall '-P 4 2'
loop_
_atom_site_label
_atom_site_type_symbol
_atom_site_fract_x
_atom_site_fract_y
_atom_site_fract_z
Pm1 Pm 0.000 0.000 0.000
Ho1 Ho 0.500 0.500 0.278
Cd1 Cd 0.000 0.000 0.500


Which of them is the least stable? Correct choice: <w>.


<w>
# PmHo2Cd (PBE, relaxed)
# Total magnetization ... 0.00 μB per cell
data_PmHo2Cd
_cell_length_a 3.5852
_cell_length_b 3.5852
_cell_length_c 32.3930
_cell_angle_alpha 90.00
_cell_angle_beta 90.00
_cell_angle_gamma 120.00
_symmetry_space_group_name_H-M 'R -3 m'
_symmetry_Int_Tables_number 166
_symmetry_space_group_name_Hall '-R 3 2"'
loop_
_atom_site_label
_atom_site_type_symbol
_atom_site_fract_x
_atom_site_fract_y
_atom_site_fract_z
Pm1 Pm 0.0000 0.0000 0.0000
Ho1 Ho 0.0000 0.0000 0.2435
Cd1 Cd 0.0000 0.0000 0.5000


<x>
# PmHo2Cd (PBE, relaxed)
# Total magnetization ... 0.00 μB per cell
data_PmHo2Cd
_cell_length_a 3.6086
_cell_length_b 3.6086
_cell_length_c 32.2707
_cell_angle_alpha 90.00
_cell_angle_beta 90.00
_cell_angle_gamma 120.00
_symmetry_space_group_name_H-M 'R 3 m'
_symmetry_Int_Tables_number 160
_symmetry_space_group_name_Hall 'R 3 -2"'
loop_
_atom_site_label
_atom_site_type_symbol
_atom_site_fract_x
_atom_site_fract_y
_atom_site_fract_z
Pm1 Pm 0.0000 0.0000 0.0000
Ho1 Ho 0.0000 0.0000 0.5763
Ho2 Ho 0.0000 0.0000 0.7571
Cd1 Cd 0.0000 0.0000 0.1665


<y>
# PmHo2Cd (PBE, relaxed)
# Total magnetization ... 0.00 μB per cell
data_PmHo2Cd
_cell_length_a 3.784
_cell_length_b 5.485
_cell_length_c 11.427
_cell_angle_alpha 90.00
_cell_angle_beta 90.00
_cell_angle_gamma 90.00
_symmetry_space_group_name_H-M 'I m m m'
_symmetry_Int_Tables_number 71
_symmetry_space_group_name_Hall '-I 2 2'
loop_
_atom_site_label
_atom_site_type_symbol
_atom_site_fract_x
_atom_site_fract_y
_atom_site_fract_z
Pm1 Pm 0.000 0.000 0.000
Ho1 Ho 0.000 0.500 0.224
Cd1 Cd 0.000 0.000 0.500


<z>
# PmHo2Cd (PBE, relaxed)
# Total magnetization ... 0.02 μB per cell
data_PmHo2Cd
_cell_length_a 7.718
_cell_length_b 7.718
_cell_length_c 7.718
_cell_angle_alpha 90.00
_cell_angle_beta 90.00
_cell_angle_gamma 90.00
_symmetry_space_group_name_H-M 'F m -3 m'
_symmetry_Int_Tables_number 225
_symmetry_space_group_name_Hall '-F 4 2 3'
loop_
_atom_site_label
_atom_site_type_symbol
_atom_site_fract_x
_atom_site_fract_y
_atom_site_fract_z
Pm1 Pm 0.000 0.000 0.000
Ho1 Ho 0.250 0.250 0.250
Cd1 Cd 0.000 0.000 0.500


Which of them is the least stable? Correct choice: <z>.


<w>
# Pm3HoCd (PBE, relaxed)
# Total magnetization ... 0.00 μB per cell
data_Pm3HoCd
_cell_length_a 15.015
_cell_length_b 13.208
_cell_length_c 6.476
_cell_angle_alpha 90.00
_cell_angle_beta 103.90
_cell_angle_gamma 90.00
_symmetry_space_group_name_H-M 'C 1 2/c 1'
_symmetry_Int_Tables_number 15
_symmetry_space_group_name_Hall '-C 2yc'
loop_
_atom_site_label
_atom_site_type_symbol
_atom_site_fract_x
_atom_site_fract_y
_atom_site_fract_z
Pm1 Pm 0.101 0.066 0.476
Pm2 Pm 0.187 0.313 0.629
Pm3 Pm 0.201 0.429 0.136
Ho1 Ho 0.094 0.198 0.986
Cd1 Cd 0.000 0.357 0.250
Cd2 Cd 0.000 0.414 0.750


<x>
# Pm3HoCd (PBE, relaxed)
# Total magnetization ... 0.00 μB per cell
data_Pm3HoCd
_cell_length_a 19.704
_cell_length_b 3.750
_cell_length_c 8.692
_cell_angle_alpha 90.00
_cell_angle_beta 103.70
_cell_angle_gamma 90.00
_symmetry_space_group_name_H-M 'C 1 2/m 1'
_symmetry_Int_Tables_number 12
_symmetry_space_group_name_Hall '-C 2y'
loop_
_atom_site_label
_atom_site_type_symbol
_atom_site_fract_x
_atom_site_fract_y
_atom_site_fract_z
Pm1 Pm 0.004 0.000 0.282
Pm2 Pm 0.099 0.500 0.037
Pm3 Pm 0.187 0.000 0.378
Ho1 Ho 0.205 0.000 0.829
Cd1 Cd 0.103 0.500 0.580


Which of them is the least stable? Correct choice: <w>.


<w>
# PmHoScCd (PBE, relaxed)
# Total magnetization ... 0.00 μB per cell
data_PmHoScCd
_cell_length_a 3.533
_cell_length_b 3.533
_cell_length_c 8.803
_cell_angle_alpha 90.00
_cell_angle_beta 90.00
_cell_angle_gamma 90.00
_symmetry_space_group_name_H-M 'P 4 m m'
_symmetry_Int_Tables_number 99
_symmetry_space_group_name_Hall 'P 4 -2'
loop_
_atom_site_label
_atom_site_type_symbol
_atom_site_fract_x
_atom_site_fract_y
_atom_site_fract_z
Pm1 Pm 0.000 0.000 0.000
Ho1 Ho 0.500 0.500 0.708
Sc1 Sc 0.500 0.500 0.269
Cd1 Cd 0.000 0.000 0.469


<x>
# PmHoScCd (PBE, relaxed)
# Total magnetization ... 0.05 μB per cell
data_PmHoScCd
_cell_length_a 7.606
_cell_length_b 7.606
_cell_length_c 7.606
_cell_angle_alpha 90.00
_cell_angle_beta 90.00
_cell_angle_gamma 90.00
_symmetry_space_group_name_H-M 'F -4 3 m'
_symmetry_Int_Tables_number 216
_symmetry_space_group_name_Hall 'F -4 2 3'
loop_
_atom_site_label
_atom_site_type_symbol
_atom_site_fract_x
_atom_site_fract_y
_atom_site_fract_z
Pm1 Pm 0.000 0.000 0.000
Ho1 Ho 0.000 0.000 0.500
Sc1 Sc 0.250 0.250 0.250
Cd1 Cd 0.250 0.250 0.750


Which of them is the least stable? Correct choice: <x>.


<w>
# PmHoZnCd (PBE, relaxed)
# Total magnetization ... 0.00 μB per cell
data_PmHoZnCd
_cell_length_a 3.626
_cell_length_b 3.626
_cell_length_c 7.653
_cell_angle_alpha 90.00
_cell_angle_beta 90.00
_cell_angle_gamma 90.00
_symmetry_space_group_name_H-M 'P 4 m m'
_symmetry_Int_Tables_number 99
_symmetry_space_group_name_Hall 'P 4 -2'
loop_
_atom_site_label
_atom_site_type_symbol
_atom_site_fract_x
_atom_site_fract_y
_atom_site_fract_z
Pm1 Pm 0.000 0.000 0.000
Ho1 Ho 0.000 0.000 0.460
Zn1 Zn 0.500 0.500 0.245
Cd1 Cd 0.500 0.500 0.717


<x>
# PmHoZnCd (PBE, relaxed)
# Total magnetization ... 0.02 μB per cell
data_PmHoZnCd
_cell_length_a 7.407
_cell_length_b 7.407
_cell_length_c 7.407
_cell_angle_alpha 90.00
_cell_angle_beta 90.00
_cell_angle_gamma 90.00
_symmetry_space_group_name_H-M 'F -4 3 m'
_symmetry_Int_Tables_number 216
_symmetry_space_group_name_Hall 'F -4 2 3'
loop_
_atom_site_label
_atom_site_type_symbol
_atom_site_fract_x
_atom_site_fract_y
_atom_site_fract_z
Pm1 Pm 0.000 0.000 0.000
Ho1 Ho 0.000 0.000 0.500
Zn1 Zn 0.250 0.250 0.750
Cd1 Cd 0.250 0.250 0.250


Which of them is the least stable? Correct choice: <x>.


<w>
# Pr6HoCd2 (PBE, relaxed)
# Total magnetization ... 0.00 μB per cell
data_Pr6HoCd2
_cell_length_a 13.089
_cell_length_b 3.851
_cell_length_c 12.313
_cell_angle_alpha 90.00
_cell_angle_beta 108.90
_cell_angle_gamma 90.00
_symmetry_space_group_name_H-M 'C 1 2/m 1'
_symmetry_Int_Tables_number 12
_symmetry_space_group_name_Hall '-C 2y'
loop_
_atom_site_label
_atom_site_type_symbol
_atom_site_fract_x
_atom_site_fract_y
_atom_site_fract_z
Pr1 Pr 0.021 0.000 0.336
Pr2 Pr 0.184 0.500 0.877
Pr3 Pr 0.190 0.500 0.590
Ho1 Ho 0.000 0.000 0.000
Cd1 Cd 0.141 0.500 0.195


<x>
# Pr6HoCd2 (PBE, relaxed)
# Total magnetization ... 0.00 μB per cell
data_Pr6HoCd2
_cell_length_a 15.836
_cell_length_b 11.813
_cell_length_c 6.274
_cell_angle_alpha 90.00
_cell_angle_beta 96.01
_cell_angle_gamma 90.00
_symmetry_space_group_name_H-M 'C 1 2/c 1'
_symmetry_Int_Tables_number 15
_symmetry_space_group_name_Hall '-C 2yc'
loop_
_atom_site_label
_atom_site_type_symbol
_atom_site_fract_x
_atom_site_fract_y
_atom_site_fract_z
Pr1 Pr 0.057 0.127 0.009
Pr2 Pr 0.116 0.350 0.313
Pr3 Pr 0.223 0.372 0.837
Ho1 Ho 0.000 0.398 0.750
Cd1 Cd 0.165 0.122 0.591


Which of them is the least stable? Correct choice: <x>.


<w>
# Pr8HoCd2 (PBE, relaxed)
# Total magnetization ... 0.00 μB per cell
data_Pr8HoCd2
_cell_length_a 14.164
_cell_length_b 11.207
_cell_length_c 5.274
_cell_angle_alpha 90.00
_cell_angle_beta 100.71
_cell_angle_gamma 90.00
_symmetry_space_group_name_H-M 'C 1 2/m 1'
_symmetry_Int_Tables_number 12
_symmetry_space_group_name_Hall '-C 2y'
loop_
_atom_site_label
_atom_site_type_symbol
_atom_site_fract_x
_atom_site_fract_y
_atom_site_fract_z
Pr1 Pr 0.084 0.000 0.292
Pr2 Pr 0.104 0.239 0.783
Pr3 Pr 0.240 0.500 0.127
Ho1 Ho 0.000 0.500 0.000
Cd1 Cd 0.115 0.500 0.548


<x>
# Pr8HoCd2 (PBE, relaxed)
# Total magnetization ... 0.00 μB per cell
data_Pr8HoCd2
_cell_length_a 17.273
_cell_length_b 5.432
_cell_length_c 8.560
_cell_angle_alpha 90.00
_cell_angle_beta 114.06
_cell_angle_gamma 90.00
_symmetry_space_group_name_H-M 'C 1 2/m 1'
_symmetry_Int_Tables_number 12
_symmetry_space_group_name_Hall '-C 2y'
loop_
_atom_site_label
_atom_site_type_symbol
_atom_site_fract_x
_atom_site_fract_y
_atom_site_fract_z
Pr1 Pr 0.052 0.000 0.240
Pr2 Pr 0.103 0.500 0.968
Pr3 Pr 0.147 0.000 0.705
Pr4 Pr 0.187 0.500 0.454
Ho1 Ho 0.000 0.500 0.500
Cd1 Cd 0.222 0.000 0.132


Which of them is the least stable? Correct choice: <w>.